This record from Alexandria describes crystalline NaV2Pt2 at its relaxed geometry. The functional is GGA-PBE.

Calculated values
Symmetry: P4/mbm, No. 127
Total moment, μB/cell: 0.7
Calculated formation energy, eV per atom: -0.24
D(E_F), states/eV/atom: 0.796
V, A^3/atom: 16.32

abc: 7.770 7.770 2.703
angles: 90.00 90.00 90.00
Element x y z (fractional)
Na1 0.000 0.000 0.000
Na2 0.500 0.500 0.000
V1 0.158 0.342 0.500
V2 0.342 0.842 0.500
V3 0.658 0.158 0.500
V4 0.842 0.658 0.500
Pt1 0.135 0.635 0.000
Pt2 0.365 0.135 0.000
Pt3 0.635 0.865 0.000
Pt4 0.865 0.365 0.000